[1]
A plane-wave DFT calculation with SCAN was carried out for a crystal of MgNi3F relaxed with PBEsol.

Computed properties:
Symmetry: Pm-3m, No. 221
Size of the total moment, μB/f.u.: 3.262
Density, g cm⁻³: 4.338
DOS(E_F), states/eV/f.u.: 1.10

a b c (Å): 4.3792 4.3792 4.3792
angles (deg): 90.00 90.00 90.00
Atoms (fractional coordinates):
1 Mg 0.0000 0.0000 0.0000
2 Ni 0.0000 0.0000 0.5000
3 Ni 0.0000 0.5000 0.0000
4 Ni 0.5000 0.0000 0.0000
5 F 0.5000 0.5000 0.5000

=====

[2]
A plane-wave DFT calculation with SCAN was carried out for a crystal of MgFeSb2 relaxed with PBEsol.

Computed properties:
Symmetry: P4mm, No. 99
Size of the total moment, μB/f.u.: 1.740
Density, g cm⁻³: 6.609
DOS(E_F), states/eV/f.u.: 1.71

a b c (Å): 3.2096 3.2096 7.8938
angles (deg): 90.00 90.00 90.00
Atoms (fractional coordinates):
1 Mg 0.0000 0.0000 0.0000
2 Fe 0.5000 0.5000 0.7987
3 Sb 0.0000 0.0000 0.6297
4 Sb 0.5000 0.5000 0.2613

=====

What are the energy relative to the elements, uncorrected values for these records? In order: 1.185, 0.065 eV per atom.
What are the energy above the lowest structure with this stoichiometry values for these records? In order: 5.00, 0.06 eV/f.u..